A plane-wave DFT calculation with PBE was carried out for YOs3 after structural relaxation.

Cell and atoms, written as CIF:
```
data_YOs3
_space_group_name_H-M_alt 'P 1'
_space_group_IT_number 1
_space_group_name_Hall 'P 1'
_cell_length_a 4.061
_cell_length_b 4.061
_cell_length_c 4.061
_cell_angle_alpha 90.00
_cell_angle_beta 90.00
_cell_angle_gamma 90.00
loop_
_atom_site_label
_atom_site_fract_x
_atom_site_fract_y
_atom_site_fract_z
_atom_site_occupancy
Y1 0.000 0.000 0.000 1
Os1 0.000 0.500 0.500 1
Os2 0.500 0.000 0.500 1
Os3 0.500 0.500 0.000 1
```

Calculated values
- ΔH_f (0 K) (eV/atom) = 0.438
- volume (Å³ per atom) = 16.74
- SG = Pm-3m (221)
- total energy (eV per atom) = -9.5999
- crystal system = cubic